1.
The following is a PBE-GGA calculation of a relaxed Ac2PrI crystal, from the Alexandria database.

Values from the calculation:
crystal system	trigonal
energy above the lowest structure with this stoichiometry	231	meV/atom
E_form (uncorrected)	-0.18	eV per atom
D(E_F)	5.057	states/eV/f.u.
size of the total moment	3.36	Bohr magnetons per cell
ρ	7.2	g/cm3

a b c (Å): 3.8689 3.8689 38.4460
angles (deg): 90.00 90.00 120.00
Space group R-3m (No. 166, hexagonal axes)
Asymmetric unit:
Ac 0.0000 0.0000 0.0954 [6 per cell]
Pr 0.0000 0.0000 0.0000 [3 per cell]
I 0.0000 0.0000 0.5000 [3 per cell]


2.
The following is a PBE-GGA calculation of a relaxed SmAs4 crystal, from the Alexandria database.

Values from the calculation:
crystal system	cubic
formation energy from the elements	870	meV/atom
D(E_F)	6.197	states/eV/f.u.
size of the total moment	0.00	Bohr magnetons per cell
ρ	4.6	g/cm3

a b c (Å): 5.471 5.471 5.471
angles (deg): 90.00 90.00 90.00
Space group Pm-3m (No. 221)
Asymmetric unit:
Sm 0.000 0.000 0.000 [1 per cell]
As 0.000 0.000 0.500 [3 per cell]
As 0.500 0.500 0.500 [1 per cell]


3.
The following is a PBE-GGA calculation of a relaxed CdSi2H2 crystal, from the Alexandria database.

Values from the calculation:
crystal system	tetragonal
energy above the lowest structure with this stoichiometry	0	meV/atom
D(E_F)	1.527	states/eV/f.u.
size of the total moment	0.00	Bohr magnetons per cell
ρ	4.4	g/cm3

a b c (Å): 3.514 3.514 10.391
angles (deg): 90.00 90.00 90.00
Space group I4/mmm (No. 139)
Asymmetric unit:
Cd 0.000 0.000 0.000 [2 per cell]
Si 0.000 0.000 0.324 [4 per cell]
H 0.000 0.500 0.250 [4 per cell]


4.
The following is a PBE-GGA calculation of a relaxed Ba6P2PdI3 crystal, from the Alexandria database.

Values from the calculation:
crystal system	monoclinic
E_form (uncorrected)	-1.26	eV per atom
D(E_F)	6.939	states/eV/f.u.
size of the total moment	0.01	Bohr magnetons per cell
ρ	4.6	g/cm3

a b c (Å): 8.222 14.255 8.820
angles (deg): 90.00 108.06 90.00
Space group C2/m (No. 12)
Asymmetric unit:
Ba 0.229 0.000 0.202 [4 per cell]
Ba 0.238 0.330 0.203 [8 per cell]
P 0.000 0.167 0.000 [4 per cell]
Pd 0.000 0.500 0.000 [2 per cell]
I 0.000 0.000 0.500 [2 per cell]
I 0.000 0.334 0.500 [4 per cell]